HfMgNF2 | PBE | optimized geometry

Summary:
Energy (Ry/atom): -0.474
Total magnetic moment (μB/cell): 0.65
Space group: P4/mmm
Energy relative to the elements, uncorrected (eV/atom): -1.724

a = 3.529 Å, b = 3.529 Å, c = 5.033 Å
α = 90.00°, β = 90.00°, γ = 90.00°
Fractional positions:
1 Mg 0.000 0.000 0.000
2 F 0.500 0.000 0.000
3 F 0.000 0.500 0.000
4 N 0.000 0.000 0.500
5 Hf 0.500 0.500 0.500

---

LiTmSc2Tl4 | PBE | optimized geometry

Summary:
Energy (Ry/atom): -0.281
Formation enthalpy at 0 K (meV/atom): -263.8
Total magnetic moment (μB/cell): 0.00
Space group: R-3m

a = 5.082 Å, b = 5.082 Å, c = 8.991 Å
α = 73.59°, β = 73.59°, γ = 60.00°
Fractional positions:
1 Sc 0.247 0.247 0.259
2 Sc 0.753 0.753 0.741
3 Tl 0.379 0.379 0.864
4 Tl 0.621 0.621 0.136
5 Tl 0.128 0.128 0.615
6 Tl 0.872 0.872 0.385
7 Li 0.500 0.500 0.500
8 Tm 0.000 0.000 0.000